(1)
This record from Alexandria describes an optimized crystal structure of Ac6CuRh4. The functional is PBE.

The structure in CIF format:
```
data_Ac6CuRh4
_chemical_formula_sum 'Ac12 Cu2 Rh8'
_symmetry_space_group_name_H-M 'C 1 m 1'
_symmetry_Int_Tables_number 8
_symmetry_space_group_name_Hall 'C -2y'
_cell_length_a 8.639
_cell_length_b 8.367
_cell_length_c 9.885
_cell_angle_alpha 90.00
_cell_angle_beta 115.44
_cell_angle_gamma 90.00
loop_
_atom_site_label
_atom_site_type_symbol
_atom_site_fract_x
_atom_site_fract_y
_atom_site_fract_z
Ac1 Ac 0.000 0.000 0.000
Ac2 Ac 0.008 0.500 0.998
Ac3 Ac 0.318 0.252 0.635
Ac4 Ac 0.394 0.248 0.285
Cu1 Cu 0.122 0.000 0.740
Rh1 Rh 0.178 0.500 0.356
Rh2 Rh 0.181 0.000 0.360
Rh3 Rh 0.217 0.247 0.924
```

The value obtained for the final energy is -5.770 eV/atom. The mass density is 9.46 Mg/m³.

(2)
This record from Alexandria describes an optimized crystal structure of SmTm3Pb4. The functional is PBE.

The structure in CIF format:
```
data_SmTm3Pb4
_chemical_formula_sum 'Sm2 Tm6 Pb8'
_symmetry_space_group_name_H-M 'P m n a'
_symmetry_Int_Tables_number 53
_symmetry_space_group_name_Hall '-P 2ac 2'
_cell_length_a 11.126
_cell_length_b 6.392
_cell_length_c 6.393
_cell_angle_alpha 90.00
_cell_angle_beta 90.00
_cell_angle_gamma 90.00
loop_
_atom_site_label
_atom_site_type_symbol
_atom_site_fract_x
_atom_site_fract_y
_atom_site_fract_z
Sm1 Sm 0.000 0.000 0.000
Tm1 Tm 0.000 0.500 0.500
Tm2 Tm 0.250 0.253 0.250
Pb1 Pb 0.000 0.000 0.500
Pb2 Pb 0.000 0.500 0.000
Pb3 Pb 0.250 0.249 0.750
```

The value obtained for the final energy is -4.532 eV/atom. The mass density is 10.85 Mg/m³.

(3)
This record from Alexandria describes an optimized crystal structure of Ce2Al4Zn3Cd. The functional is PBE.

The structure in CIF format:
```
data_Ce2Al4Zn3Cd
_chemical_formula_sum 'Ce2 Al4 Zn3 Cd1'
_symmetry_space_group_name_H-M 'P -4 m 2'
_symmetry_Int_Tables_number 115
_symmetry_space_group_name_Hall 'P -4 -2'
_cell_length_a 4.272
_cell_length_b 4.272
_cell_length_c 10.993
_cell_angle_alpha 90.00
_cell_angle_beta 90.00
_cell_angle_gamma 90.00
loop_
_atom_site_label
_atom_site_type_symbol
_atom_site_fract_x
_atom_site_fract_y
_atom_site_fract_z
Ce1 Ce 0.000 0.500 0.244
Al1 Al 0.000 0.000 0.000
Al2 Al 0.000 0.500 0.644
Al3 Al 0.500 0.500 0.000
Zn1 Zn 0.000 0.500 0.867
Zn2 Zn 0.500 0.500 0.500
Cd1 Cd 0.000 0.000 0.500
```

The value obtained for the final energy is -3.476 eV/atom. The mass density is 5.77 Mg/m³.

(4)
This record from Alexandria describes an optimized crystal structure of LiY2Rh. The functional is PBE.

The structure in CIF format:
```
data_LiY2Rh
_chemical_formula_sum 'Li1 Y2 Rh1'
_symmetry_space_group_name_H-M 'P 1 2/m 1'
_symmetry_Int_Tables_number 10
_symmetry_space_group_name_Hall '-P 2y'
_cell_length_a 4.824
_cell_length_b 3.446
_cell_length_c 5.763
_cell_angle_alpha 90.00
_cell_angle_beta 108.85
_cell_angle_gamma 90.00
loop_
_atom_site_label
_atom_site_type_symbol
_atom_site_fract_x
_atom_site_fract_y
_atom_site_fract_z
Li1 Li 0.000 0.000 0.000
Y1 Y 0.000 0.000 0.500
Y2 Y 0.500 0.500 0.000
Rh1 Rh 0.500 0.500 0.500
```

The value obtained for the final energy is -5.673 eV/atom. The mass density is 5.27 Mg/m³.

(5)
This record from Alexandria describes an optimized crystal structure of AcSm3. The functional is PBE.

The structure in CIF format:
```
data_AcSm3
_chemical_formula_sum 'Ac2 Sm6'
_symmetry_space_group_name_H-M 'I m m 2'
_symmetry_Int_Tables_number 44
_symmetry_space_group_name_Hall 'I 2 -2'
_cell_length_a 3.779
_cell_length_b 11.980
_cell_length_c 6.463
_cell_angle_alpha 90.00
_cell_angle_beta 90.00
_cell_angle_gamma 90.00
loop_
_atom_site_label
_atom_site_type_symbol
_atom_site_fract_x
_atom_site_fract_y
_atom_site_fract_z
Ac1 Ac 0.000 0.000 0.000
Sm1 Sm 0.000 0.246 0.342
Sm2 Sm 0.000 0.500 0.007
```

The value obtained for the final energy is -4.515 eV/atom. The mass density is 7.70 Mg/m³.

(6)
This record from Alexandria describes an optimized crystal structure of Dy3TmSi4. The functional is PBE.

The structure in CIF format:
```
data_Dy3TmSi4
_chemical_formula_sum 'Dy6 Tm2 Si8'
_symmetry_space_group_name_H-M 'I m m m'
_symmetry_Int_Tables_number 71
_symmetry_space_group_name_Hall '-I 2 2'
_cell_length_a 3.987
_cell_length_b 6.203
_cell_length_c 15.489
_cell_angle_alpha 90.00
_cell_angle_beta 90.00
_cell_angle_gamma 90.00
loop_
_atom_site_label
_atom_site_type_symbol
_atom_site_fract_x
_atom_site_fract_y
_atom_site_fract_z
Dy1 Dy 0.000 0.000 0.000
Dy2 Dy 0.000 0.500 0.194
Tm1 Tm 0.000 0.000 0.500
Si1 Si 0.000 0.313 0.369
```

The value obtained for the final energy is -5.566 eV/atom. The mass density is 6.66 Mg/m³. The uncorrected formation energy is -0.5693 eV per atom.

(7)
This record from Alexandria describes an optimized crystal structure of LiGe3P. The functional is PBE.

The structure in CIF format:
```
data_LiGe3P
_chemical_formula_sum 'Li1 Ge3 P1'
_symmetry_space_group_name_H-M 'P m -3 m'
_symmetry_Int_Tables_number 221
_symmetry_space_group_name_Hall '-P 4 2 3'
_cell_length_a 4.882
_cell_length_b 4.882
_cell_length_c 4.882
_cell_angle_alpha 90.00
_cell_angle_beta 90.00
_cell_angle_gamma 90.00
loop_
_atom_site_label
_atom_site_type_symbol
_atom_site_fract_x
_atom_site_fract_y
_atom_site_fract_z
Li1 Li 0.000 0.000 0.000
Ge1 Ge 0.000 0.500 0.500
P1 P 0.500 0.500 0.500
```

The value obtained for the final energy is -3.754 eV/atom. The mass density is 3.65 Mg/m³. For the energy above the lowest structure with this stoichiometry, the calculation gives 0.00 eV per formula unit.

(8)
This record from Alexandria describes an optimized crystal structure of TlZnCdHg. The functional is PBE.

The structure in CIF format:
```
data_TlZnCdHg
_chemical_formula_sum 'Tl4 Zn4 Cd4 Hg4'
_symmetry_space_group_name_H-M 'F -4 3 m'
_symmetry_Int_Tables_number 216
_symmetry_space_group_name_Hall 'F -4 2 3'
_cell_length_a 7.293
_cell_length_b 7.293
_cell_length_c 7.293
_cell_angle_alpha 90.00
_cell_angle_beta 90.00
_cell_angle_gamma 90.00
loop_
_atom_site_label
_atom_site_type_symbol
_atom_site_fract_x
_atom_site_fract_y
_atom_site_fract_z
Tl1 Tl 0.000 0.000 0.000
Zn1 Zn 0.250 0.250 0.750
Cd1 Cd 0.250 0.250 0.250
Hg1 Hg 0.000 0.000 0.500
```

The value obtained for the final energy is -1.098 eV/atom. The mass density is 9.98 Mg/m³.

(9)
This record from Alexandria describes an optimized crystal structure of Ce3ZnPt2. The functional is PBE.

The structure in CIF format:
```
data_Ce3ZnPt2
_chemical_formula_sum 'Ce6 Zn2 Pt4'
_symmetry_space_group_name_H-M 'I m m m'
_symmetry_Int_Tables_number 71
_symmetry_space_group_name_Hall '-I 2 2'
_cell_length_a 3.408
_cell_length_b 5.417
_cell_length_c 16.200
_cell_angle_alpha 90.00
_cell_angle_beta 90.00
_cell_angle_gamma 90.00
loop_
_atom_site_label
_atom_site_type_symbol
_atom_site_fract_x
_atom_site_fract_y
_atom_site_fract_z
Ce1 Ce 0.000 0.000 0.000
Ce2 Ce 0.000 0.500 0.181
Zn1 Zn 0.000 0.500 0.000
Pt1 Pt 0.000 0.500 0.351
```

The value obtained for the final energy is -5.600 eV/atom. The mass density is 9.73 Mg/m³.

(10)
This record from Alexandria describes an optimized crystal structure of NdHo9Tl2. The functional is PBE.

The structure in CIF format:
```
data_NdHo9Tl2
_chemical_formula_sum 'Nd1 Ho9 Tl2'
_symmetry_space_group_name_H-M 'P 4/m m m'
_symmetry_Int_Tables_number 123
_symmetry_space_group_name_Hall '-P 4 2'
_cell_length_a 4.858
_cell_length_b 4.858
_cell_length_c 15.015
_cell_angle_alpha 90.00
_cell_angle_beta 90.00
_cell_angle_gamma 90.00
loop_
_atom_site_label
_atom_site_type_symbol
_atom_site_fract_x
_atom_site_fract_y
_atom_site_fract_z
Nd1 Nd 0.000 0.000 0.000
Ho1 Ho 0.000 0.500 0.174
Ho2 Ho 0.000 0.500 0.500
Ho3 Ho 0.500 0.500 0.000
Ho4 Ho 0.500 0.500 0.339
Tl1 Tl 0.000 0.000 0.340
```

The value obtained for the final energy is -4.325 eV/atom. The mass density is 9.55 Mg/m³.

(11)
This record from Alexandria describes an optimized crystal structure of CdHg5Pb. The functional is PBE.

The structure in CIF format:
```
data_CdHg5Pb
_chemical_formula_sum 'Cd2 Hg10 Pb2'
_symmetry_space_group_name_H-M 'I m m m'
_symmetry_Int_Tables_number 71
_symmetry_space_group_name_Hall '-I 2 2'
_cell_length_a 5.570
_cell_length_b 8.787
_cell_length_c 11.853
_cell_angle_alpha 90.00
_cell_angle_beta 90.00
_cell_angle_gamma 90.00
loop_
_atom_site_label
_atom_site_type_symbol
_atom_site_fract_x
_atom_site_fract_y
_atom_site_fract_z
Cd1 Cd 0.000 0.000 0.000
Hg1 Hg 0.000 0.000 0.244
Hg2 Hg 0.000 0.324 0.000
Hg3 Hg 0.000 0.500 0.500
Pb1 Pb 0.000 0.000 0.500
```

The value obtained for the final energy is -0.713 eV/atom. The mass density is 7.57 Mg/m³. For the energy above the lowest structure with this stoichiometry, the calculation gives 0.83 eV per formula unit.

(12)
This record from Alexandria describes an optimized crystal structure of Er5C2Br9. The functional is PBE.

The structure in CIF format:
```
data_Er5C2Br9
_chemical_formula_sum 'Er20 C8 Br36'
_symmetry_space_group_name_H-M 'P 1 21/c 1'
_symmetry_Int_Tables_number 14
_symmetry_space_group_name_Hall '-P 2ybc'
_cell_length_a 10.393
_cell_length_b 16.473
_cell_length_c 13.543
_cell_angle_alpha 90.00
_cell_angle_beta 122.92
_cell_angle_gamma 90.00
loop_
_atom_site_label
_atom_site_type_symbol
_atom_site_fract_x
_atom_site_fract_y
_atom_site_fract_z
Er1 Er 0.008 0.158 0.218
Er2 Er 0.020 0.559 0.763
Er3 Er 0.161 0.534 0.533
Er4 Er 0.197 0.190 0.054
Er5 Er 0.350 0.061 0.311
C1 C 0.074 0.029 0.168
C2 C 0.121 0.090 0.118
Br1 Br 0.077 0.194 0.635
Br2 Br 0.082 0.561 0.157
Br3 Br 0.086 0.706 0.677
Br4 Br 0.283 0.665 0.471
Br5 Br 0.284 0.077 0.941
Br6 Br 0.293 0.181 0.437
Br7 Br 0.326 0.559 0.958
Br8 Br 0.462 0.554 0.736
Br9 Br 0.484 0.187 0.253
```

The value obtained for the final energy is -5.086 eV/atom. The mass density is 5.39 Mg/m³. The uncorrected formation energy is -1.5661 eV per atom.

> What is the mass density in the third record?

5.77 Mg/m³